First-principles (PBE) data for a relaxed Sc2TaOs crystal, as listed in the Alexandria database.

Results
E_form = -0.083 eV per atom
calculated volume = 18.813 Å³ per atom
SG = Pm, No. 6
energy above the lowest structure with this stoichiometry = 13.9 kJ/mol of atoms
energy = -9.02 eV/atom

Cell lengths 3.053, 4.437, 5.706 Å; angles 90.00, 103.14, 90.00 degrees
Fractional coordinates of all 4 atoms:
Sc 0.000 0.000 0.000
Sc 0.285 0.500 0.717
Ta 0.682 0.500 0.267
Os 0.498 0.000 0.470